Below is a geometry-optimized Th6Os2PdS3 structure, with properties calculated at the PBE level.

abc: 4.0938 8.5489 9.4582
angles: 106.61 102.50 90.00
Last column: nearest neighbours and their distance in Å.
Positions (direct):
Th1 0.6660 0.1008 0.3320  2 Os 2.84, 1 Pd 2.93, 3 S 3.00-3.06
Th2 0.3340 0.8992 0.6680  2 Os 2.84, 1 Pd 2.93, 3 S 3.00-3.06
Th3 0.0062 0.2523 0.0125  1 Os 2.81, 2 Pd 2.95, 3 S 2.97-3.04
Th4 0.9938 0.7477 0.9875  1 Os 2.81, 2 Pd 2.95, 3 S 2.97-3.04
Th5 0.3273 0.4307 0.6545  3 Os 2.86-2.87, 3 S 3.07-3.08
Th6 0.6727 0.5693 0.3455  3 Os 2.86-2.87, 3 S 3.07-3.08
Os1 0.8348 0.6700 0.6697  6 Th 2.81-2.87
Os2 0.1652 0.3300 0.3303  6 Th 2.81-2.87
S1 0.8345 0.1659 0.6689  6 Th 3.00-3.08
S2 0.5000 0.5000 0.0000  6 Th 2.97-3.07
S3 0.1655 0.8341 0.3311  6 Th 3.00-3.08
Pd1 0.5000 0.0000 0.0000  6 Th 2.93-2.95

Summary:
Size of the total moment ... 0.000 μB per atom
Volume ... 25.750 Å³/atom
Energy ... -0.599 Ry/atom

=====

Below is a geometry-optimized Na2Dy3ErSe6 structure, with properties calculated at the PBE level.

abc: 7.0877 7.0877 7.1557
angles: 99.48 99.48 119.94
Last column: nearest neighbours and their distance in Å.
Positions (direct):
Se1 0.0838 0.4114 0.2515  1 Er 2.88, 3 Dy 2.88-2.91, 2 Na 2.93-2.94
Se2 0.4114 0.0838 0.2515  1 Er 2.88, 3 Dy 2.88-2.91, 2 Na 2.93-2.94
Se3 0.9162 0.5886 0.7485  1 Er 2.88, 3 Dy 2.88-2.91, 2 Na 2.93-2.94
Se4 0.2415 0.2415 0.7443  1 Er 2.89, 3 Dy 2.89-2.92, 2 Na 2.94
Se5 0.7585 0.7585 0.2557  1 Er 2.89, 3 Dy 2.89-2.92, 2 Na 2.94
Se6 0.5886 0.9162 0.7485  1 Er 2.88, 3 Dy 2.88-2.91, 2 Na 2.93-2.94
Dy1 0.8304 0.1696 0.5000  6 Se 2.88-2.91
Dy2 0.1696 0.8304 0.5000  6 Se 2.88-2.91
Dy3 0.5000 0.5000 0.5000  6 Se 2.88-2.92
Er1 0.0000 0.0000 0.0000  6 Se 2.88-2.89
Na1 0.6658 0.3342 0.0000  6 Se 2.93-2.94
Na2 0.3342 0.6658 0.0000  6 Se 2.93-2.94

Summary:
Size of the total moment ... 0.000 μB per atom
Volume ... 24.513 Å³/atom
Energy ... -0.382 Ry/atom

=====

Below is a geometry-optimized Hg2AsW structure, with properties calculated at the PBE level.

abc: 4.7851 4.7851 4.7851
angles: 60.00 60.00 60.00
Last column: nearest neighbours and their distance in Å.
Positions (direct):
W1 0.2500 0.2500 0.2500  4 Hg 2.93, 4 As 2.93
Hg1 0.7500 0.7500 0.7500  4 Hg 2.93, 4 As 2.93
Hg2 0.0000 0.0000 0.0000  4 W 2.93, 4 Hg 2.93
As1 0.5000 0.5000 0.5000  4 Hg 2.93, 4 W 2.93

Summary:
Size of the total moment ... 0.000 μB per atom
E_form ... 0.95 eV/atom
Volume ... 19.368 Å³/atom
Energy ... -0.265 Ry/atom

=====

Below is a geometry-optimized TaMn3Re structure, with properties calculated at the PBE level.

abc: 4.4864 4.4864 4.4864
angles: 90.00 90.00 90.00
Last column: nearest neighbours and their distance in Å.
Positions (direct):
Re1 0.0000 0.0000 0.0000  6 Mn 2.24
Mn1 0.5000 0.0000 0.0000  2 Re 2.24
Mn2 0.0000 0.5000 0.0000  2 Re 2.24
Mn3 0.0000 0.0000 0.5000  2 Re 2.24
Ta1 0.5000 0.5000 0.5000  12 Mn 3.17

Summary:
Size of the total moment ... 1.204 μB per atom
E_form ... 1.44 eV/atom
Volume ... 18.060 Å³/atom
Energy ... -0.655 Ry/atom

=====

Below is a geometry-optimized SrHfNbCd2 structure, with properties calculated at the PBE level.

abc: 5.6033 4.9096 5.6033
angles: 90.00 90.00 90.00
Last column: nearest neighbours and their distance in Å.
Positions (direct):
Cd1 0.0000 0.0000 0.5000  2 Hf 2.80
Cd2 0.5000 0.0000 0.0000  2 Hf 2.80
Nb1 0.0000 0.5000 0.0000  2 Hf 2.45
Sr1 0.5000 0.5000 0.5000  8 Cd 3.72, 4 Nb 3.96
Hf1 0.0000 0.0000 0.0000  2 Nb 2.45

Summary:
Size of the total moment ... 0.112 μB per atom
E_form ... 0.67 eV/atom
Volume ... 30.829 Å³/atom
Energy ... -0.297 Ry/atom

=====

Below is a geometry-optimized KLiTa2 structure, with properties calculated at the PBE level.

abc: 4.9787 4.9787 7.7300
angles: 87.39 87.39 32.37
Last column: nearest neighbours and their distance in Å.
Positions (direct):
K1 0.4986 0.4986 0.5021  2 K 2.78
Ta1 0.0079 0.0079 0.9797  5 Ta 2.73-2.87, 1 Li 2.90
Ta2 0.7338 0.7338 0.8438  5 Ta 2.73-2.87, 2 Li 2.93
Li1 0.2598 0.2598 0.1743  2 Li 2.78, 5 Ta 2.90-3.08

Summary:
Size of the total moment ... 0.000 μB per atom
Energy above the most stable polymorph in this dataset ... 0.257 eV/atom
E_form ... 0.84 eV/atom
Volume ... 25.615 Å³/atom
Energy ... -0.429 Ry/atom

=====

Below is a geometry-optimized Ac2IrC structure, with properties calculated at the PBE level.

abc: 3.6599 5.0744 5.0744
angles: 90.00 90.00 90.00
Last column: nearest neighbours and their distance in Å.
Positions (direct):
Ac1 0.0000 0.0000 0.5000  4 C 3.13, 4 Ir 3.13
Ac2 0.0000 0.5000 0.0000  4 C 3.13, 4 Ir 3.13
C1 0.5000 0.5000 0.5000  8 Ac 3.13
Ir1 0.5000 0.0000 0.0000  8 Ac 3.13

Summary:
Size of the total moment ... 0.001 μB per atom
E_form ... 0.35 eV/atom
Volume ... 23.560 Å³/atom
Energy ... -0.458 Ry/atom

=====

Below is a geometry-optimized Na2Ga2Br7 structure, with properties calculated at the PBE level.

abc: 6.7349 7.9091 15.0657
angles: 90.00 90.00 100.07
Last column: nearest neighbours and their distance in Å.
Positions (direct):
Br1 0.0871 0.7966 0.7780  1 Ga 2.43
Br2 0.0000 0.0000 0.5000  2 Ga 2.53
Br3 0.0000 0.5000 0.0000  2 Ga 2.53
Br4 0.5556 0.9783 0.6830  1 Ga 2.45
Br5 0.4444 0.5217 0.1830  1 Ga 2.45
Br6 0.6953 0.9019 0.9559  1 Ga 2.45
Br7 0.0871 0.2966 0.7220  1 Ga 2.43
Br8 0.5556 0.4783 0.8170  1 Ga 2.45
Br9 0.6953 0.4019 0.5441  1 Ga 2.45
Br10 0.3047 0.5981 0.4559  1 Ga 2.45
Br11 0.3047 0.0981 0.0441  1 Ga 2.45
Br12 0.9129 0.2034 0.2220  1 Ga 2.43
Br13 0.4444 0.0217 0.3170  1 Ga 2.45
Br14 0.9129 0.7034 0.2780  1 Ga 2.43
Ga1 0.1623 0.3304 0.1132  4 Br 2.43-2.53
Ga2 0.1623 0.8304 0.3868  4 Br 2.43-2.53
Ga3 0.8377 0.1696 0.6132  4 Br 2.43-2.53
Ga4 0.8377 0.6696 0.8868  4 Br 2.43-2.53
Na1 0.3768 0.1007 0.8481  6 Br 2.99-3.30
Na2 0.3768 0.6007 0.6519  6 Br 2.99-3.30
Na3 0.6232 0.8993 0.1519  6 Br 2.99-3.30
Na4 0.6232 0.3993 0.3481  6 Br 2.99-3.30

Summary:
Size of the total moment ... 0.000 μB per atom
Volume ... 35.916 Å³/atom
Energy ... -0.209 Ry/atom

=====

> volume of number 1 (Th6Os2PdS3)?

25.750 Å³/atom

=====

Repeat the first record exactly.
Below is a geometry-optimized Th6Os2PdS3 structure, with properties calculated at the PBE level.

abc: 4.0938 8.5489 9.4582
angles: 106.61 102.50 90.00
Last column: nearest neighbours and their distance in Å.
Positions (direct):
Th1 0.6660 0.1008 0.3320  2 Os 2.84, 1 Pd 2.93, 3 S 3.00-3.06
Th2 0.3340 0.8992 0.6680  2 Os 2.84, 1 Pd 2.93, 3 S 3.00-3.06
Th3 0.0062 0.2523 0.0125  1 Os 2.81, 2 Pd 2.95, 3 S 2.97-3.04
Th4 0.9938 0.7477 0.9875  1 Os 2.81, 2 Pd 2.95, 3 S 2.97-3.04
Th5 0.3273 0.4307 0.6545  3 Os 2.86-2.87, 3 S 3.07-3.08
Th6 0.6727 0.5693 0.3455  3 Os 2.86-2.87, 3 S 3.07-3.08
Os1 0.8348 0.6700 0.6697  6 Th 2.81-2.87
Os2 0.1652 0.3300 0.3303  6 Th 2.81-2.87
S1 0.8345 0.1659 0.6689  6 Th 3.00-3.08
S2 0.5000 0.5000 0.0000  6 Th 2.97-3.07
S3 0.1655 0.8341 0.3311  6 Th 3.00-3.08
Pd1 0.5000 0.0000 0.0000  6 Th 2.93-2.95

Summary:
Size of the total moment ... 0.000 μB per atom
Volume ... 25.750 Å³/atom
Energy ... -0.599 Ry/atom